# 1
DFT (GGA-PBE) results for a relaxed structure of Sr2Tl5Sn.

The crystal system is orthorhombic. The value obtained for the formation energy is -277.8 meV per atom.

It has space group Pbam (No. 55), with a = 7.119 Å, b = 14.129 Å, c = 4.908 Å, α = 90.00°, β = 90.00° and γ = 90.00°. The distinct sites, in fractional coordinates, are Sr at (0.244, 0.122, 0.000), Tl at (0.000, 0.500, 0.500), Tl at (0.016, 0.757, 0.500), Tl at (0.244, 0.374, 0.000) and Sn at (0.000, 0.000, 0.500).


# 2
DFT (GGA-PBE) results for a relaxed structure of CsSr2PrI8.

The crystal system is triclinic. For the uncorrected formation energy, the calculation gives -1539 meV/atom.

It has space group P-1 (No. 2), with a = 7.577 Å, b = 7.938 Å, c = 10.332 Å, α = 89.96°, β = 89.93° and γ = 89.75°. The distinct sites, in fractional coordinates, are Cs at (0.000, 0.000, 0.000), Sr at (0.500, 0.500, 0.250), Pr at (0.000, 0.000, 0.500), I at (0.249, 0.840, 0.709), I at (0.249, 0.841, 0.291), I at (0.252, 0.331, 0.500) and I at (0.261, 0.392, 0.000).


# 3
DFT (GGA-PBE) results for a relaxed structure of LaErTl2S4.

The crystal system is monoclinic. For the uncorrected formation energy, the calculation gives -1497 meV/atom.

It has space group P2/m (No. 10), with a = 7.178 Å, b = 4.138 Å, c = 7.854 Å, α = 90.00°, β = 107.64° and γ = 90.00°. The distinct sites, in fractional coordinates, are La at (0.000, 0.000, 0.000), Er at (0.500, 0.500, 0.000), Tl at (0.000, 0.500, 0.500), Tl at (0.500, 0.000, 0.500), S at (0.248, 0.500, 0.202) and S at (0.280, 0.000, 0.802).